Density functional theory data (PBE-GGA) for PaTiGa after structural relaxation.

a = 4.776 Å, b = 16.198 Å, c = 3.233 Å
α = 90.00°, β = 90.00°, γ = 90.00°
Space group Cmcm (No. 63)
Unique sites:
Pa1 0.000 0.078 0.250
Ti1 0.000 0.236 0.750
Ga1 0.000 0.368 0.250

## Properties
Energy above the most stable polymorph in this dataset: 6 meV per atom
ΔH_f (0 K): -0.082 eV per atom
DOS at the Fermi energy: 22.315 states/eV/cell
DFT total energy: -82.7 eV/cell